Entry 1:
VASP calculation (GGA-PBE) on a relaxed LaTbDyAl crystal.

a = 3.5551 Å, b = 3.5551 Å, c = 9.2021 Å
α = 90.00°, β = 90.00°, γ = 90.00°
Fractional positions:
Dy: 0.5000 0.5000 0.3651
Tb: 0.5000 0.5000 0.7771
Al: 0.0000 0.0000 0.5700
La: 0.0000 0.0000 0.0724

Raw total energy ... -4.660 eV per atom
SG ... No. 99
Excess energy over the best structure of this formula in the dataset ... 0.00 kJ/mol of atoms
Formation energy from the elements ... -0.18 eV per atom

Entry 2:
VASP calculation (GGA-PBE) on a relaxed LaTbDyAl crystal.

a = 5.4491 Å, b = 5.4491 Å, c = 5.4491 Å
α = 60.00°, β = 60.00°, γ = 60.00°
Last column: magnetic moment on the atom in μB.
Fractional positions:
La: 0.2500 0.2500 0.2500  0.08
Tb: 0.7500 0.7500 0.7500  0.12
Dy: 0.0000 0.0000 0.0000  0.16
Al: 0.5000 0.5000 0.5000  0.00

Raw total energy ... -4.536 eV per atom
SG ... No. 216
Excess energy over the best structure of this formula in the dataset ... 11.97 kJ/mol of atoms
Formation energy from the elements ... -0.06 eV per atom

Entry 3:
VASP calculation (GGA-PBE) on a relaxed LaDyThAl crystal.

a = 5.4815 Å, b = 5.4815 Å, c = 5.4815 Å
α = 60.00°, β = 60.00°, γ = 60.00°
Fractional positions:
Dy: 0.7500 0.7500 0.7500
Th: 0.0000 0.0000 0.0000
La: 0.5000 0.5000 0.5000
Al: 0.2500 0.2500 0.2500

Raw total energy ... -5.178 eV per atom
SG ... No. 216
Formation energy from the elements ... 0.00 eV per atom

Entry 4:
VASP calculation (GGA-PBE) on a relaxed LaDy2Al2Zn2 crystal.

a = 4.5546 Å, b = 4.5546 Å, c = 9.7474 Å
α = 76.49°, β = 76.49°, γ = 60.00°
Fractional positions:
La: 0.0000 0.0000 0.0000
Al: 0.7427 0.7427 0.7719
Al: 0.2573 0.2573 0.2281
Dy: 0.1298 0.1298 0.6106
Dy: 0.8702 0.8702 0.3894
Zn: 0.5913 0.5913 0.2260
Zn: 0.4087 0.4087 0.7740

Raw total energy ... -3.767 eV per atom
SG ... No. 166
Formation energy from the elements ... -0.32 eV per atom

Entry 5:
VASP calculation (GGA-PBE) on a relaxed LiDyAl6 crystal.

a = 4.5954 Å, b = 6.0848 Å, c = 6.0848 Å
α = 120.02°, β = 90.00°, γ = 90.00°
Fractional positions:
Al: 0.0000 0.6003 0.3997
Al: 0.5000 0.9180 0.0820
Al: 0.0000 0.0495 0.3999
Al: 0.5000 0.4138 0.0818
Al: 0.5000 0.9182 0.5862
Al: 0.0000 0.6001 0.9505
Dy: 0.5000 0.4167 0.5833
Li: 0.0000 0.0831 0.9169

Raw total energy ... -3.824 eV per atom
SG ... No. 187
Formation energy from the elements ... -0.20 eV per atom

Entry 6:
VASP calculation (GGA-PBE) on a relaxed LiDy12Al6 crystal.

a = 8.6555 Å, b = 8.6555 Å, c = 8.6555 Å
α = 107.43°, β = 107.43°, γ = 107.43°
Fractional positions:
Dy: 0.4259 0.0810 0.3383
Dy: 0.5741 0.9190 0.6617
Dy: 0.6657 0.9685 0.1145
Dy: 0.3343 0.0315 0.8855
Dy: 0.3383 0.4259 0.0810
Dy: 0.1145 0.6657 0.9685
Dy: 0.9685 0.1145 0.6657
Dy: 0.6617 0.5741 0.9190
Dy: 0.8855 0.3343 0.0315
Dy: 0.9190 0.6617 0.5741
Dy: 0.0315 0.8855 0.3343
Dy: 0.0810 0.3383 0.4259
Al: 0.3441 0.2319 0.6554
Al: 0.6559 0.7681 0.3446
Al: 0.3446 0.6559 0.7681
Al: 0.2319 0.6554 0.3441
Al: 0.7681 0.3446 0.6559
Al: 0.6554 0.3441 0.2319
Li: 0.0000 0.0000 0.0000

Raw total energy ... -4.172 eV per atom
SG ... No. 148
Formation energy from the elements ... 0.02 eV per atom

Entry 7:
VASP calculation (GGA-PBE) on a relaxed LiDyAl crystal.

a = 3.8881 Å, b = 3.8881 Å, c = 5.2676 Å
α = 119.48°, β = 99.15°, γ = 96.77°
Fractional positions:
Dy: 0.4460 0.2175 0.6635
Al: 0.8060 0.5190 0.3250
Li: 0.0813 0.9302 0.0115

Raw total energy ... -3.475 eV per atom
SG ... No. 8
Excess energy over the best structure of this formula in the dataset ... 14.34 kJ/mol of atoms
Formation energy from the elements ... -0.06 eV per atom

Entry 8:
VASP calculation (GGA-PBE) on a relaxed LiDy8Al2 crystal.

a = 5.1198 Å, b = 6.8298 Å, c = 9.2800 Å
α = 102.51°, β = 106.01°, γ = 90.00°
Fractional positions:
Al: 0.8071 0.2700 0.6142
Al: 0.1929 0.7300 0.3858
Dy: 0.5959 0.4670 0.1917
Dy: 0.1966 0.2859 0.3932
Dy: 0.6595 0.9568 0.3189
Dy: 0.0230 0.7616 0.0461
Dy: 0.9770 0.2384 0.9539
Dy: 0.4041 0.5330 0.8083
Dy: 0.8034 0.7141 0.6068
Dy: 0.3405 0.0432 0.6811
Li: 0.5000 0.0000 0.0000

Raw total energy ... -4.290 eV per atom
SG ... No. 12
Formation energy from the elements ... -0.09 eV per atom

no.,D(E_F) (states/eV/atom)
1,0.991
2,1.747
3,0.925
4,0.592
5,0.272
6,1.097
7,0.439
8,1.021